Compound: TaCd2Br
Source: Alexandria via LeMat-Bulk
Functional: PBE-GGA
Structure: optimized geometry

The relative energy among the computed polymorphs comes out at 240.6 meV/atom. For the total DFT energy (no corrections), the calculation gives -28.69 eV/cell.

It has space group Cmmm (No. 65), with a = 3.9670 Å, b = 4.9591 Å, c = 8.8652 Å, α = 90.00°, β = 90.00° and γ = 90.00°. Symmetry generates all atoms from Ta at (0.0000, 0.0000, 0.0000), Cd at (0.0000, 0.5000, 0.2403) and Br at (0.0000, 0.0000, 0.5000).

Compound: SbOsCl2
Source: Alexandria via LeMat-Bulk
Functional: PBE-GGA
Structure: optimized geometry

The relative energy among the computed polymorphs comes out at 1075.4 meV/atom. For the total DFT energy (no corrections), the calculation gives -14.65 eV/cell.

It has space group P4/mmm (No. 123), with a = 4.1850 Å, b = 4.1850 Å, c = 4.4392 Å, α = 90.00°, β = 90.00° and γ = 90.00°. Symmetry generates all atoms from Sb at (0.0000, 0.0000, 0.0000), Os at (0.5000, 0.5000, 0.0000) and Cl at (0.0000, 0.5000, 0.5000).

V? In order: 21.8, 19.4 A^3/atom.